[1]
# BaLiAu meta-GGA SCAN single point on PBEsol structure
# uncorrected energy = -37.672 eV per atom
# symmetry = No. 187
data_BaLiAu
_chemical_formula_sum 'Ba1 Li1 Au1'
_cell_length_a 4.5617
_cell_length_b 4.5911
_cell_length_c 4.5911
_cell_angle_alpha 120.00
_cell_angle_beta 90.00
_cell_angle_gamma 90.00
_symmetry_space_group_name_H-M 'P 1'
_symmetry_Int_Tables_number 1
loop_
_symmetry_equiv_pos_as_xyz
'x,y,z'
loop_
_atom_site_label
_atom_site_type_symbol
_atom_site_fract_x
_atom_site_fract_y
_atom_site_fract_z
Li1 Li 0.5000 0.6667 0.3333
Au1 Au 0.5000 0.0000 0.0000
Ba1 Ba 0.0000 0.3333 0.6667

[2]
# BaLiAu2 meta-GGA SCAN single point on PBEsol structure
# polymorph energy (0 for the lowest one) = 40 kJ/mol of formula units
# symmetry = No. 160
data_BaLiAu2
_chemical_formula_sum 'Ba1 Li1 Au2'
_cell_length_a 4.5276
_cell_length_b 4.5276
_cell_length_c 6.1756
_cell_angle_alpha 68.50
_cell_angle_beta 68.50
_cell_angle_gamma 60.00
_symmetry_space_group_name_H-M 'P 1'
_symmetry_Int_Tables_number 1
loop_
_symmetry_equiv_pos_as_xyz
'x,y,z'
loop_
_atom_site_label
_atom_site_type_symbol
_atom_site_fract_x
_atom_site_fract_y
_atom_site_fract_z
Au1 Au 0.6996 0.6996 0.9013
Au2 Au 0.9688 0.9688 0.0937
Ba1 Ba 0.4995 0.4995 0.5014
Li1 Li 0.3114 0.3114 0.0657

[3]
# BaLi2Au meta-GGA SCAN single point on PBEsol structure
# polymorph energy (0 for the lowest one) = 30 kJ/mol of formula units
# symmetry = No. 166
data_BaLi2Au
_chemical_formula_sum 'Ba1 Li2 Au1'
_cell_length_a 4.5347
_cell_length_b 4.5347
_cell_length_c 6.3074
_cell_angle_alpha 68.93
_cell_angle_beta 68.93
_cell_angle_gamma 60.00
_symmetry_space_group_name_H-M 'P 1'
_symmetry_Int_Tables_number 1
loop_
_symmetry_equiv_pos_as_xyz
'x,y,z'
loop_
_atom_site_label
_atom_site_type_symbol
_atom_site_fract_x
_atom_site_fract_y
_atom_site_fract_z
Au1 Au 0.5000 0.5000 0.5000
Ba1 Ba 0.0000 0.0000 0.0000
Li1 Li 0.8064 0.8064 0.5807
Li2 Li 0.1936 0.1936 0.4193

[4]
# BaLi2Au meta-GGA SCAN single point on PBEsol structure
# polymorph energy (0 for the lowest one) = 21 kJ/mol of formula units
# symmetry = No. 6
data_BaLi2Au
_chemical_formula_sum 'Ba1 Li2 Au1'
_cell_length_a 4.0969
_cell_length_b 4.2790
_cell_length_c 6.6566
_cell_angle_alpha 90.00
_cell_angle_beta 107.23
_cell_angle_gamma 90.00
_symmetry_space_group_name_H-M 'P 1'
_symmetry_Int_Tables_number 1
loop_
_symmetry_equiv_pos_as_xyz
'x,y,z'
loop_
_atom_site_label
_atom_site_type_symbol
_atom_site_fract_x
_atom_site_fract_y
_atom_site_fract_z
Li1 Li 0.0212 0.0000 0.1620
Li2 Li 0.5504 0.5000 0.2170
Au1 Au 0.6577 0.0000 0.4436
Ba1 Ba 0.2707 0.5000 0.6774

[5]
# BaLi2Au meta-GGA SCAN single point on PBEsol structure
# polymorph energy (0 for the lowest one) = 0 kJ/mol of formula units
# symmetry = No. 160
data_BaLi2Au
_chemical_formula_sum 'Ba1 Li2 Au1'
_cell_length_a 4.6165
_cell_length_b 4.6165
_cell_length_c 6.2624
_cell_angle_alpha 68.37
_cell_angle_beta 68.37
_cell_angle_gamma 60.00
_symmetry_space_group_name_H-M 'P 1'
_symmetry_Int_Tables_number 1
loop_
_symmetry_equiv_pos_as_xyz
'x,y,z'
loop_
_atom_site_label
_atom_site_type_symbol
_atom_site_fract_x
_atom_site_fract_y
_atom_site_fract_z
Ba1 Ba 0.2460 0.2460 0.2620
Li1 Li 0.0576 0.0576 0.8272
Li2 Li 0.7597 0.7597 0.7210
Au1 Au 0.4436 0.4436 0.6691

[6]
# BaLi2Au meta-GGA SCAN single point on PBEsol structure
# polymorph energy (0 for the lowest one) = 104 kJ/mol of formula units
# symmetry = No. 69
data_BaLi2Au
_chemical_formula_sum 'Ba1 Li2 Au1'
_cell_length_a 4.4553
_cell_length_b 4.4480
_cell_length_c 6.4048
_cell_angle_alpha 109.91
_cell_angle_beta 109.94
_cell_angle_gamma 91.12
_symmetry_space_group_name_H-M 'P 1'
_symmetry_Int_Tables_number 1
loop_
_symmetry_equiv_pos_as_xyz
'x,y,z'
loop_
_atom_site_label
_atom_site_type_symbol
_atom_site_fract_x
_atom_site_fract_y
_atom_site_fract_z
Au1 Au 0.0000 0.5000 0.0000
Li1 Li 0.5000 0.5000 0.5000
Li2 Li 0.0000 0.0000 0.5000
Ba1 Ba 0.5000 0.0000 0.0000

[7]
# BaLi3Au meta-GGA SCAN single point on PBEsol structure
# polymorph energy (0 for the lowest one) = 688 kJ/mol of formula units
# symmetry = No. 221
data_BaLi3Au
_chemical_formula_sum 'Ba1 Li3 Au1'
_cell_length_a 4.9353
_cell_length_b 4.9353
_cell_length_c 4.9353
_cell_angle_alpha 90.00
_cell_angle_beta 90.00
_cell_angle_gamma 90.00
_symmetry_space_group_name_H-M 'P 1'
_symmetry_Int_Tables_number 1
loop_
_symmetry_equiv_pos_as_xyz
'x,y,z'
loop_
_atom_site_label
_atom_site_type_symbol
_atom_site_fract_x
_atom_site_fract_y
_atom_site_fract_z
Li1 Li 0.0000 0.0000 0.5000
Li2 Li 0.5000 0.0000 0.0000
Li3 Li 0.0000 0.5000 0.0000
Ba1 Ba 0.0000 0.0000 0.0000
Au1 Au 0.5000 0.5000 0.5000

[8]
# BaLiAu2 meta-GGA SCAN single point on PBEsol structure
# polymorph energy (0 for the lowest one) = 0 kJ/mol of formula units
# symmetry = No. 12
data_BaLiAu2
_chemical_formula_sum 'Ba1 Li1 Au2'
_cell_length_a 4.5650
_cell_length_b 4.5645
_cell_length_c 6.1124
_cell_angle_alpha 111.99
_cell_angle_beta 90.00
_cell_angle_gamma 120.00
_symmetry_space_group_name_H-M 'P 1'
_symmetry_Int_Tables_number 1
loop_
_symmetry_equiv_pos_as_xyz
'x,y,z'
loop_
_atom_site_label
_atom_site_type_symbol
_atom_site_fract_x
_atom_site_fract_y
_atom_site_fract_z
Au1 Au 0.7972 0.5944 0.8919
Au2 Au 0.2028 0.4056 0.1081
Ba1 Ba 0.0000 0.0000 0.5000
Li1 Li 0.5000 0.0000 0.0000